<A>
This record from Alexandria via LeMat-Bulk describes a geometry-optimized CaTiTe2Cl structure. The functional is PBE.

abc: 5.8824 5.8824 4.9762
angles: 90.00 90.00 90.00
Last column: nearest neighbours and their distance in Å.
Fractional positions:
Ca (0.0000, 0.0000, 0.0000)  2 Cl 2.49
Ti (0.5000, 0.5000, 0.5000)  8 Te 3.85, 4 Cl 4.16
Te (0.0000, 0.5000, 0.0000)  2 Ca 2.94
Te (0.5000, 0.0000, 0.0000)  2 Ca 2.94
Cl (0.0000, 0.0000, 0.5000)  2 Ca 2.49

---

<B>
This record from Alexandria via LeMat-Bulk describes a geometry-optimized CaTiTe2Cl structure. The functional is PBE.

abc: 5.9605 5.9605 4.4013
angles: 90.00 90.00 90.00
Last column: nearest neighbours and their distance in Å.
Fractional positions:
Ca (0.0000, 0.0000, 0.0000)  8 Te 3.70
Ti (0.5000, 0.5000, 0.0000)  2 Cl 2.20
Te (0.0000, 0.5000, 0.5000)  2 Cl 2.98
Te (0.5000, 0.0000, 0.5000)  2 Cl 2.98
Cl (0.5000, 0.5000, 0.5000)  2 Ti 2.20

---

Stability ranking, top and bottom: <A> is the most stable and <B> is the least stable.